one | TbSm2: optimized geometry, PBE.

Output
**Fermi-level density of states**: 5.69 states/eV/f.u.
**Size of the total moment**: 0.000 μB/f.u.

a b c (Å): 11.2504 5.8712 6.0558
angles (deg): 90.00 90.01 90.00
Closest atoms and distances in Å follow each position.
Fractional positions:
1 Tb 0.0907 0.0000 0.2168  1 Tb 3.33, 7 Sm 3.43-3.63
2 Tb 0.4093 0.5000 0.7832  1 Tb 3.33, 7 Sm 3.43-3.63
3 Tb 0.5907 0.5000 0.2168  1 Tb 3.33, 7 Sm 3.43-3.63
4 Tb 0.9093 0.0000 0.7832  1 Tb 3.33, 7 Sm 3.43-3.63
5 Sm 0.0867 0.5000 0.7785  5 Sm 3.32-3.66, 3 Tb 3.55-3.63
6 Sm 0.2465 0.0000 0.7034  5 Tb 3.43-3.82, 6 Sm 3.47-3.83
7 Sm 0.2535 0.5000 0.2966  5 Tb 3.43-3.82, 6 Sm 3.47-3.83
8 Sm 0.4133 0.0000 0.2215  5 Sm 3.32-3.66, 3 Tb 3.55-3.63
9 Sm 0.5867 0.0000 0.7785  5 Sm 3.32-3.66, 3 Tb 3.55-3.63
10 Sm 0.7465 0.5000 0.7034  5 Tb 3.43-3.82, 6 Sm 3.47-3.83
11 Sm 0.7535 0.0000 0.2966  5 Tb 3.43-3.82, 6 Sm 3.47-3.83
12 Sm 0.9133 0.5000 0.2215  5 Sm 3.32-3.66, 3 Tb 3.55-3.63

=====

two | TbSm2: optimized geometry, PBE.

Output
**Fermi-level density of states**: 4.34 states/eV/f.u.
**Size of the total moment**: 0.000 μB/f.u.

a b c (Å): 3.5029 3.5029 33.0721
angles (deg): 90.00 90.00 90.00
Closest atoms and distances in Å follow each position.
Fractional positions:
1 Tb 0.0000 0.2500 0.3750  4 Tb 3.50, 8 Sm 3.58
2 Tb 0.0000 0.7500 0.6250  4 Tb 3.50, 8 Sm 3.58
3 Tb 0.5000 0.2500 0.1250  4 Tb 3.50, 8 Sm 3.58
4 Tb 0.5000 0.7500 0.8750  4 Tb 3.50, 8 Sm 3.58
5 Sm 0.0000 0.2500 0.7969  6 Sm 3.50-3.56, 4 Tb 3.58
6 Sm 0.0000 0.2500 0.9531  6 Sm 3.50-3.56, 4 Tb 3.58
7 Sm 0.0000 0.7500 0.0469  6 Sm 3.50-3.56, 4 Tb 3.58
8 Sm 0.0000 0.7500 0.2031  6 Sm 3.50-3.56, 4 Tb 3.58
9 Sm 0.5000 0.2500 0.5469  6 Sm 3.50-3.56, 4 Tb 3.58
10 Sm 0.5000 0.2500 0.7031  6 Sm 3.50-3.56, 4 Tb 3.58
11 Sm 0.5000 0.7500 0.2969  6 Sm 3.50-3.56, 4 Tb 3.58
12 Sm 0.5000 0.7500 0.4531  6 Sm 3.50-3.56, 4 Tb 3.58

=====

Stability check: which of them is least stable? two.